# Sm2BeCu (PBE, relaxed)
data_Sm2BeCu
_space_group_name_H-M_alt 'P 4/m m m'
_space_group_IT_number 123
_space_group_name_Hall '-P 4 2'
_cell_length_a 3.5151
_cell_length_b 3.5151
_cell_length_c 7.0221
_cell_angle_alpha 90.00
_cell_angle_beta 90.00
_cell_angle_gamma 90.00
loop_
_atom_site_label
_atom_site_type_symbol
_atom_site_fract_x
_atom_site_fract_y
_atom_site_fract_z
Sm1 Sm 0.0000 0.0000 0.2431
Be1 Be 0.5000 0.5000 0.0000
Cu1 Cu 0.5000 0.5000 0.5000
# ΔE_f, meV/atom: -9
# DOS(E_F), states/eV/cell: 3.32


# SmBe2Cu10 (PBE, relaxed)
data_SmBe2Cu10
_space_group_name_H-M_alt 'F m m m'
_space_group_IT_number 69
_space_group_name_Hall '-F 2 2'
_cell_length_a 4.7310
_cell_length_b 11.6148
_cell_length_c 12.1423
_cell_angle_alpha 90.00
_cell_angle_beta 90.00
_cell_angle_gamma 90.00
loop_
_atom_site_label
_atom_site_type_symbol
_atom_site_fract_x
_atom_site_fract_y
_atom_site_fract_z
Sm1 Sm 0.0000 0.0000 0.0000
Be1 Be 0.2500 0.0000 0.2500
Cu1 Cu 0.0000 0.1091 0.3795
Cu2 Cu 0.0000 0.1724 0.1797
Cu3 Cu 0.2500 0.2500 0.0000
# ΔE_f, meV/atom: -102
# DOS(E_F), states/eV/cell: 14.71


# Sm2BeCu (PBE, relaxed)
data_Sm2BeCu
_space_group_name_H-M_alt 'F m -3 m'
_space_group_IT_number 225
_space_group_name_Hall '-F 4 2 3'
_cell_length_a 7.0481
_cell_length_b 7.0481
_cell_length_c 7.0481
_cell_angle_alpha 90.00
_cell_angle_beta 90.00
_cell_angle_gamma 90.00
loop_
_atom_site_label
_atom_site_type_symbol
_atom_site_fract_x
_atom_site_fract_y
_atom_site_fract_z
Sm1 Sm 0.2500 0.2500 0.2500
Be1 Be 0.0000 0.0000 0.0000
Cu1 Cu 0.0000 0.0000 0.5000
# ΔE_f, meV/atom: 7
# DOS(E_F), states/eV/cell: 12.13


# SmBeCu (PBE, relaxed)
data_SmBeCu
_space_group_name_H-M_alt 'P -6 m 2'
_space_group_IT_number 187
_space_group_name_Hall 'P -6 2'
_cell_length_a 4.1092
_cell_length_b 4.1092
_cell_length_c 3.7893
_cell_angle_alpha 90.00
_cell_angle_beta 90.00
_cell_angle_gamma 120.00
loop_
_atom_site_label
_atom_site_type_symbol
_atom_site_fract_x
_atom_site_fract_y
_atom_site_fract_z
Sm1 Sm 0.0000 0.0000 0.0000
Be1 Be 0.3333 0.6667 0.5000
Cu1 Cu 0.6667 0.3333 0.5000
# ΔE_f, meV/atom: -55
# DOS(E_F), states/eV/cell: 2.45